A relaxed SrHgAs2Pb crystal, computed with GGA-PBE.

The energy of formation from the pure elements comes out at -0.3973 eV per atom. The final energy is -3.40 eV per atom. The calculation puts the total magnetization at 0.0 μB/f.u. The calculation puts the calculated density at 7.21 g/cm3. The energy above the most stable polymorph in this dataset is 0.0 kJ per mole of atoms.

```
10
Lattice="-0.3118 -0.2242 4.4994 8.4925 -0.4134 2.8341 3.2317 7.3556 2.8567" Properties=species:S:1:pos:R:3 pbc="T T T"
Sr 8.8045 4.6097 7.6383
Sr 2.6079 2.1082 2.5519
Hg 3.1919 5.7936 2.7761
Hg 8.2206 0.9244 7.4141
As 8.1003 2.6209 5.2242
As 3.3122 4.0971 4.9660
As 2.1235 -0.1907 4.6699
As 9.2890 6.9087 5.5203
Pb 5.9071 5.4486 5.2132
Pb 5.5053 1.2693 4.9770
```